1.
Li4NbFeW2O12 | GGA-PBEsol | optimized geometry

**Symmetry**: P1, No. 1
**E_form (uncorrected)**: -2135 meV/atom
**DFT total energy**: -160.96 eV for the cell shown

Cell: 5.0888 5.4119 7.4594 Å, 85.18 89.89 89.93°
With the nearest neighbours (Å) after each atom.
Sites, in units of the cell vectors:
Li: 0.0000 0.0000 0.0000  4 O 1.96-2.10
Li: 0.0046 0.9937 0.5352  6 O 2.03-2.23
Li: 0.4948 0.4587 0.9913  3 O 1.95-2.00
Li: 0.5020 0.4700 0.5373  5 O 1.99-2.17
Nb: 0.5005 0.9229 0.2400  3 O 1.87-1.90
Fe: 0.0015 0.4210 0.7326  4 O 1.90-2.11
W: 0.0050 0.4231 0.2264  4 O 1.84-1.95
W: 0.4952 0.9039 0.7382  5 O 1.85-1.97
O: 0.1173 0.3716 0.9827  1 W 1.95, 1 Fe 1.95, 2 Li 1.98-2.09
O: 0.1741 0.0780 0.2815  1 Nb 1.90, 1 W 2.07, 1 Li 2.09
O: 0.2086 0.7004 0.6531  1 Fe 1.90, 1 W 1.97, 1 Li 2.03
O: 0.3055 0.1850 0.6568  1 W 1.86, 1 Li 1.99
O: 0.3187 0.5705 0.2812  1 W 1.85
O: 0.3730 0.8778 0.9735  1 W 1.86, 1 Li 2.02
O: 0.6322 0.8874 0.4748  1 Nb 1.87, 1 Li 2.04, 1 W 2.09
O: 0.6780 0.5836 0.7717  1 Fe 1.90, 2 Li 1.95-2.10, 1 W 1.96
O: 0.6924 0.2092 0.1515  1 Nb 1.90, 1 Li 2.00, 1 W 2.07
O: 0.8045 0.0725 0.7749  1 W 1.85, 1 Li 1.96
O: 0.8171 0.7044 0.1515  1 W 1.84
O: 0.8762 0.3818 0.4572  1 W 1.84


2.
MgSiBAu2 | GGA-PBEsol | optimized geometry

**Symmetry**: P4/mmm, No. 123
**E_form (uncorrected)**: 243 meV/atom
**DFT total energy**: -21.11 eV for the cell shown
**DOS(E_F)**: 1.969 states/eV per cell

Cell: 4.4137 4.4137 4.1673 Å, 90.00 90.00 90.00°
With the nearest neighbours (Å) after each atom.
Sites, in units of the cell vectors:
Mg: 0.0000 0.0000 0.0000  8 Au 3.04, 4 Si 3.12
Si: 0.5000 0.5000 0.0000  2 B 2.08
B: 0.5000 0.5000 0.5000  2 Si 2.08, 4 Au 2.21
Au: 0.0000 0.5000 0.5000  2 B 2.21
Au: 0.5000 0.0000 0.5000  2 B 2.21


3.
CsTmSiS4 | GGA-PBEsol | optimized geometry

**Symmetry**: P2_12_12_1, No. 19
**E_form (uncorrected)**: -1469 meV/atom
**DFT total energy**: -157.63 eV for the cell shown
**DOS(E_F)**: 0.000 states/eV per cell

Cell: 6.2382 6.5642 17.4855 Å, 90.00 90.00 90.00°
With the nearest neighbours (Å) after each atom.
Sites, in units of the cell vectors:
Cs: 0.0108 0.0080 0.4688  8 S 3.38-3.76
Cs: 0.4892 0.9920 0.9688  8 S 3.38-3.76
Cs: 0.5108 0.4920 0.5312  8 S 3.38-3.76
Cs: 0.9892 0.5080 0.0312  8 S 3.38-3.76
Tm: 0.2079 0.0212 0.7283  7 S 2.72-2.88
Tm: 0.2921 0.9788 0.2283  7 S 2.72-2.88
Tm: 0.7079 0.4788 0.2717  7 S 2.72-2.88
Tm: 0.7921 0.5212 0.7717  7 S 2.72-2.88
Si: 0.2088 0.5179 0.3312  4 S 2.10-2.14
Si: 0.2912 0.4821 0.8312  4 S 2.10-2.14
Si: 0.7088 0.9821 0.6688  4 S 2.10-2.14
Si: 0.7912 0.0179 0.1688  4 S 2.10-2.14
S: 0.0599 0.0136 0.0964  1 Si 2.10
S: 0.0615 0.2480 0.8520  1 Si 2.13
S: 0.1005 0.7507 0.8429  1 Si 2.14
S: 0.1025 0.5804 0.2184  1 Si 2.12
S: 0.3975 0.4196 0.7184  1 Si 2.12
S: 0.3995 0.2493 0.3429  1 Si 2.14
S: 0.4385 0.7520 0.3520  1 Si 2.13
S: 0.4401 0.9864 0.5964  1 Si 2.10
S: 0.5599 0.4864 0.9036  1 Si 2.10
S: 0.5615 0.2520 0.1480  1 Si 2.13
S: 0.6005 0.7493 0.1571  1 Si 2.14
S: 0.6025 0.9196 0.7816  1 Si 2.12
S: 0.8975 0.0804 0.2816  1 Si 2.12
S: 0.8995 0.2507 0.6571  1 Si 2.14
S: 0.9385 0.7480 0.6480  1 Si 2.13
S: 0.9401 0.5136 0.4036  1 Si 2.10


- The lowest E_form (uncorrected) belongs to which entry?
  Li4NbFeW2O12